Al2Ag2Sb: relaxed, PBE.

Space-group type: P4/mbm, No. 127
Formation energy (no corrections): 114 meV/atom

Structure (POSCAR):
```
Al2Ag2Sb
1.0
8.067 0.000 0.000
0.000 8.067 0.000
0.000 0.000 3.002
Al Ag Sb
4 4 2
Direct
0.159 0.341 0.000 Al
0.341 0.841 0.000 Al
0.659 0.159 0.000 Al
0.841 0.659 0.000 Al
0.136 0.636 0.500 Ag
0.364 0.136 0.500 Ag
0.636 0.864 0.500 Ag
0.864 0.364 0.500 Ag
0.000 0.000 0.500 Sb
0.500 0.500 0.500 Sb
```

SmDyLuPu: relaxed, PBE.

Space-group type: F-43m, No. 216
DFT formation energy: 0.20 eV/atom

Structure (POSCAR):
```
SmDyLuPu
1.0
0.000 3.947 3.947
3.947 0.000 3.947
3.947 3.947 0.000
Sm Dy Lu Pu
1 1 1 1
Direct
0.000 0.000 0.000 Sm
0.250 0.250 0.250 Dy
0.750 0.750 0.750 Lu
0.500 0.500 0.500 Pu
```

Dy2Er2Ni15: relaxed, PBE.

Space-group type: R-3m, No. 166
DFT formation energy: -0.25 eV/atom

Structure (POSCAR):
```
Dy2Er2Ni15
1.0
4.251 2.454 4.199
-4.251 2.454 4.199
0.000 -4.908 4.199
Dy Er Ni
2 2 15
Direct
0.139 0.139 0.139 Dy
0.861 0.861 0.861 Dy
0.389 0.389 0.389 Er
0.611 0.611 0.611 Er
0.000 0.500 0.500 Ni
0.151 0.151 0.667 Ni
0.151 0.667 0.151 Ni
0.190 0.500 0.810 Ni
0.190 0.810 0.500 Ni
0.333 0.849 0.849 Ni
0.500 0.000 0.500 Ni
0.500 0.190 0.810 Ni
0.500 0.500 0.000 Ni
0.500 0.810 0.190 Ni
0.667 0.151 0.151 Ni
0.810 0.190 0.500 Ni
0.810 0.500 0.190 Ni
0.849 0.333 0.849 Ni
0.849 0.849 0.333 Ni
```

MgZrOs: relaxed, PBE.

Space-group type: P3m1, No. 156
DFT formation energy: 0.18 eV/atom

Structure (POSCAR):
```
MgZrOs
1.0
3.195 0.000 0.000
-1.598 2.767 0.000
0.000 0.000 6.751
Mg Zr Os
1 1 1
Direct
0.000 0.000 0.000 Mg
0.333 0.667 0.596 Zr
0.667 0.333 0.317 Os
```

Values for energy, eV per atom, ordered as above
-3.3482; -6.8485; -5.7833; -6.9403